1.
RbMn2AgI6 after structural relaxation. Source: Alexandria, functional PBE.

Unit cell a=15.587 b=15.332 c=8.458 alpha=90.00 beta=111.35 gamma=90.00
Space group C2/c (No. 15)
Inequivalent atoms, fractional coordinates:
Rb (0.000, 0.131, 0.250)
Mn (0.192, 0.429, 0.191)
Ag (0.000, 0.212, 0.750)
I (0.122, 0.074, 0.691)
I (0.127, 0.271, 0.061)
I (0.133, 0.439, 0.462)

Output
* total magnetic moment: 10.0 μB/f.u.
* calculated total energy: -3.73 eV per atom
* uncorrected formation energy: -56.5 kJ/mol of atoms


2.
La2HoTm after structural relaxation. Source: Alexandria, functional PBE.

Unit cell a=3.6346 b=3.6346 c=35.2653 alpha=90.00 beta=90.00 gamma=120.00
Space group R3m (No. 160, hexagonal axes)
Inequivalent atoms, fractional coordinates:
La (0.0000, 0.0000, 0.0000)
La (0.0000, 0.0000, 0.1666)
Ho (0.0000, 0.0000, 0.7508)
Tm (0.0000, 0.0000, 0.5820)

Output
* total magnetic moment: 0.0 μB/f.u.
* DFT formation energy: 3.2 kJ per mole of atoms
* calculated total energy: -4.69 eV per atom
* E above lowest polymorph: 0.0176 eV per atom


3.
LiAg7Pd4 after structural relaxation. Source: Alexandria, functional PBE.

Unit cell a=12.797 b=4.681 c=9.862 alpha=90.00 beta=130.24 gamma=90.00
Space group C2/m (No. 12)
Inequivalent atoms, fractional coordinates:
Li (0.000, 0.000, 0.000)
Ag (0.000, 0.500, 0.000)
Ag (0.060, 0.000, 0.314)
Ag (0.147, 0.500, 0.587)
Ag (0.217, 0.000, 0.840)
Pd (0.081, 0.500, 0.800)
Pd (0.197, 0.500, 0.356)

Output
* total magnetic moment: 0.0 μB/f.u.
* DFT formation energy: 10.4 kJ per mole of atoms
* calculated total energy: -3.45 eV per atom


4.
LaBe2Al after structural relaxation. Source: Alexandria, functional PBE.

Unit cell a=6.594 b=6.594 c=6.594 alpha=90.00 beta=90.00 gamma=90.00
Space group F-43m (No. 216)
Inequivalent atoms, fractional coordinates:
La (0.000, 0.000, 0.000)
Be (0.000, 0.000, 0.500)
Be (0.250, 0.250, 0.750)
Al (0.250, 0.250, 0.250)

Output
* total magnetic moment: 0.0 μB/f.u.
* DFT formation energy: 27.5 kJ per mole of atoms
* calculated total energy: -3.75 eV per atom